# 1
Compound: Sm2Ni4Ge3P
Source: Alexandria
Functional: GGA-PBE
Structure: optimized geometry

Unit cell a=4.1303 b=4.1303 c=9.4860 alpha=90.00 beta=90.00 gamma=90.00
Sites, in units of the cell vectors:
Sm 0.5000 0.0000 0.2538
Sm 0.0000 0.5000 0.7462
Ni 0.5000 0.5000 0.0000
Ni 0.0000 0.0000 0.0000
Ni 0.5000 0.0000 0.6143
Ni 0.0000 0.5000 0.3857
Ge 0.0000 0.0000 0.5000
Ge 0.5000 0.0000 0.8689
Ge 0.0000 0.5000 0.1311
P 0.5000 0.5000 0.5000

Calculated values
Density of states at the Fermi level in states/eV/cell: 7.5
Energy of formation from the pure elements in eV per atom: -0.743

---

# 2
Compound: Sm5Pb4O
Source: Alexandria
Functional: GGA-PBE
Structure: optimized geometry

Unit cell a=6.3462 b=7.4751 c=7.4751 alpha=79.62 beta=64.88 gamma=64.88
Sites, in units of the cell vectors:
Sm 0.8886 0.3492 0.8692
Sm 0.2378 0.8692 0.6508
Sm 0.7578 0.1308 0.3492
Sm 0.1070 0.6508 0.1308
Sm 0.4360 0.0000 0.0000
Pb 0.4364 0.3937 0.7404
Pb 0.8300 0.7404 0.6063
Pb 0.1767 0.2596 0.3937
Pb 0.5704 0.6063 0.2596
O 0.0696 0.0000 0.0000

Calculated values
Density of states at the Fermi level in states/eV/cell: 6.9
ΔE_f (raw) in kJ/mol of formula units: -791

---

# 3
Compound: PmMg2Cu
Source: Alexandria
Functional: GGA-PBE
Structure: optimized geometry

Unit cell a=5.5159 b=8.1104 c=16.1353 alpha=90.00 beta=90.00 gamma=90.00
Sites, in units of the cell vectors:
Pm 0.4315 0.2500 0.1370
Pm 0.9315 0.7500 0.3630
Pm 0.5685 0.7500 0.8630
Pm 0.0685 0.2500 0.6370
Pm 0.7533 0.2500 0.3935
Pm 0.2533 0.7500 0.1065
Pm 0.2467 0.7500 0.6065
Pm 0.7467 0.2500 0.8935
Mg 0.9419 0.0554 0.2138
Mg 0.4419 0.9446 0.2862
Mg 0.0581 0.5554 0.7862
Mg 0.5581 0.4446 0.7138
Mg 0.0581 0.9446 0.7862
Mg 0.5581 0.0554 0.7138
Mg 0.9419 0.4446 0.2138
Mg 0.4419 0.5554 0.2862
Mg 0.7563 0.5546 0.0389
Mg 0.2563 0.4454 0.4611
Mg 0.2437 0.0546 0.9611
Mg 0.7437 0.9454 0.5389
Mg 0.2437 0.4454 0.9611
Mg 0.7437 0.5546 0.5389
Mg 0.7563 0.9454 0.0389
Mg 0.2563 0.0546 0.4611
Cu 0.2471 0.2500 0.3158
Cu 0.7471 0.7500 0.1842
Cu 0.7529 0.7500 0.6842
Cu 0.2529 0.2500 0.8158
Cu 0.9437 0.2500 0.0678
Cu 0.4437 0.7500 0.4322
Cu 0.0563 0.7500 0.9322
Cu 0.5563 0.2500 0.5678

Calculated values
Excess energy over the best structure of this formula in the dataset in meV per atom: 13.6
Density of states at the Fermi level in states/eV/cell: 17.4
Energy of formation from the pure elements in eV per atom: -0.163

---

# 4
Compound: YTiBPd2
Source: Alexandria
Functional: GGA-PBE
Structure: optimized geometry

Unit cell a=4.1899 b=4.8785 c=4.1899 alpha=90.00 beta=90.00 gamma=90.00
Sites, in units of the cell vectors:
Y 0.0000 0.5000 0.0000
B 0.0000 0.0000 0.0000
Pd 0.0000 0.0000 0.5000
Pd 0.5000 0.0000 0.0000
Ti 0.5000 0.5000 0.5000

Calculated values
Density of states at the Fermi level in states/eV/cell: 5.9
Energy of formation from the pure elements in eV per atom: -0.010

---

no.,theoretical density (Mg/m³)
1,8.05
2,9.12
3,4.73
4,6.99